A geometry-optimized CsGaTeF2 structure, computed with PBE. Values from VASP.

```
&SYSTEM
  ibrav = 0, nat = 5, ntyp = 4
/
ATOMIC_SPECIES
Cs 132.91 Cs.upf
Ga 69.72 Ga.upf
Te 127.60 Te.upf
F 19.00 F.upf
CELL_PARAMETERS angstrom
4.8255 0.0000 0.0000
0.0000 4.8255 0.0000
0.0000 0.0000 5.2801
ATOMIC_POSITIONS angstrom
Cs 0.0000 0.0000 0.0000
Ga 2.4127 2.4127 2.6401
Te 2.4127 2.4127 0.0000
F 0.0000 2.4127 2.6401
F 2.4127 0.0000 2.6401
```

raw formation energy = -1.401 eV per atom
crystal system = tetragonal


A geometry-optimized Ru3AuF structure, computed with PBE. Values from VASP.

```
&SYSTEM
  ibrav = 0, nat = 5, ntyp = 3
/
ATOMIC_SPECIES
Ru 101.07 Ru.upf
Au 196.97 Au.upf
F 19.00 F.upf
CELL_PARAMETERS angstrom
4.9882 0.0000 0.0000
0.0000 4.9882 0.0000
0.0000 0.0000 4.9882
ATOMIC_POSITIONS angstrom
Ru 0.0000 0.0000 2.4941
Ru 0.0000 2.4941 0.0000
Ru 2.4941 0.0000 0.0000
Au 0.0000 0.0000 0.0000
F 2.4941 2.4941 2.4941
```

raw formation energy = 2.037 eV per atom
relative energy among the computed polymorphs = 1048.1 meV/atom
crystal system = cubic


A geometry-optimized NpHS structure, computed with PBE. Values from VASP.

```
&SYSTEM
  ibrav = 0, nat = 6, ntyp = 3
/
ATOMIC_SPECIES
Np 237.00 Np.upf
H 1.01 H.upf
S 32.06 S.upf
CELL_PARAMETERS angstrom
2.6441 -3.4629 0.0000
2.6441 3.4629 0.0000
0.0000 0.0000 5.4030
ATOMIC_POSITIONS angstrom
Np 2.6441 1.7898 4.0522
Np 2.6441 -1.7898 1.3507
H 2.6441 0.0000 0.0000
H 2.6441 0.0000 2.7015
S 2.6441 2.3857 1.3507
S 2.6441 -2.3857 4.0522
```

DFT total energy = -7.527 eV per atom
crystal system = orthorhombic